The following is a DFT calculation (meta-GGA SCAN) of a crystal of HPtOF2 relaxed with PBEsol.

Output
Density of states at the Fermi level   3.19 states/eV/f.u.

Structure (CIF):
```
data_HPtOF2
_space_group_name_H-M_alt 'P 4/m m m'
_space_group_IT_number 123
_space_group_name_Hall '-P 4 2'
_cell_length_a 3.0314
_cell_length_b 3.0314
_cell_length_c 4.8056
_cell_angle_alpha 90.00
_cell_angle_beta 90.00
_cell_angle_gamma 90.00
loop_
_atom_site_label
_atom_site_type_symbol
_atom_site_fract_x
_atom_site_fract_y
_atom_site_fract_z
_atom_site_occupancy
H1 H 0.0000 0.0000 0.0000 1
Pt1 Pt 0.5000 0.5000 0.5000 1
O1 O 0.0000 0.0000 0.5000 1
F1 F 0.0000 0.5000 0.0000 1
```



The following is a DFT calculation (meta-GGA SCAN) of a crystal of Ta2CuBr relaxed with PBEsol.

Output
Uncorrected formation energy   2.74 eV/f.u.
Polymorph energy (0 for the lowest one)   165 meV/atom
Density of states at the Fermi level   2.27 states/eV/f.u.

Structure (CIF):
```
data_Ta2CuBr
_space_group_name_H-M_alt 'C 1 2/m 1'
_space_group_IT_number 12
_cell_length_a 5.5715
_cell_length_b 8.4305
_cell_length_c 2.9292
_cell_angle_alpha 90.00
_cell_angle_beta 107.35
_cell_angle_gamma 90.00
loop_
_space_group_symop_operation_xyz
'x,y,z'
'-x,-y,-z'
'-x,y,-z'
'x,-y,z'
'x+1/2,y+1/2,z'
'-x+1/2,-y+1/2,-z'
'-x+1/2,y+1/2,-z'
'x+1/2,-y+1/2,z'
loop_
_atom_site_label
_atom_site_type_symbol
_atom_site_fract_x
_atom_site_fract_y
_atom_site_fract_z
_atom_site_occupancy
Ta1 Ta 0.2500 0.2500 0.0000 1
Cu1 Cu 0.0000 0.0000 0.5000 1
Br1 Br 0.0000 0.5000 0.5000 1
```



The following is a DFT calculation (meta-GGA SCAN) of a crystal of Ta3W relaxed with PBEsol.

Output
Formation energy   -0.032 eV/atom
Density of states at the Fermi level   4.46 states/eV/f.u.

Structure (CIF):
```
data_Ta3W
_space_group_name_H-M_alt 'R -3 m'
_space_group_IT_number 166
_space_group_name_Hall '-R 3 2"'
_cell_length_a 9.1695
_cell_length_b 9.1695
_cell_length_c 2.8028
_cell_angle_alpha 90.00
_cell_angle_beta 90.00
_cell_angle_gamma 120.00
loop_
_atom_site_label
_atom_site_type_symbol
_atom_site_fract_x
_atom_site_fract_y
_atom_site_fract_z
_atom_site_occupancy
Ta1 Ta 0.0000 0.5000 0.0000 1
W1 W 0.0000 0.0000 0.0000 1
```



The following is a DFT calculation (meta-GGA SCAN) of a crystal of Re2HgTe relaxed with PBEsol.

Output
Uncorrected formation energy   4.52 eV/f.u.
Polymorph energy (0 for the lowest one)   560 meV/atom
Density of states at the Fermi level   3.27 states/eV/f.u.

Structure (CIF):
```
data_Re2HgTe
_space_group_name_H-M_alt 'P 1 2/m 1'
_space_group_IT_number 10
_cell_length_a 2.9408
_cell_length_b 4.3785
_cell_length_c 5.8422
_cell_angle_alpha 90.00
_cell_angle_beta 91.87
_cell_angle_gamma 90.00
loop_
_space_group_symop_operation_xyz
'x,y,z'
'-x,-y,-z'
'-x,y,-z'
'x,-y,z'
loop_
_atom_site_label
_atom_site_type_symbol
_atom_site_fract_x
_atom_site_fract_y
_atom_site_fract_z
_atom_site_occupancy
Re1 Re 0.0604 0.0000 0.2043 1
Hg1 Hg 0.5000 0.5000 0.0000 1
Te1 Te 0.0000 0.5000 0.5000 1
```



The following is a DFT calculation (meta-GGA SCAN) of a crystal of LiMgB3H18N2 relaxed with PBEsol.

Output
Density of states at the Fermi level   0.00 states/eV/f.u.

Structure (CIF):
```
data_LiMgB3H18N2
_space_group_name_H-M_alt 'P 63'
_space_group_IT_number 173
_cell_length_a 7.6675
_cell_length_b 7.6675
_cell_length_c 7.7655
_cell_angle_alpha 90.00
_cell_angle_beta 90.00
_cell_angle_gamma 120.00
loop_
_space_group_symop_operation_xyz
'x,y,z'
'x-y,x,z+1/2'
'-y,x-y,z'
'-x,-y,z+1/2'
'-x+y,-x,z'
'y,-x+y,z+1/2'
loop_
_atom_site_label
_atom_site_type_symbol
_atom_site_fract_x
_atom_site_fract_y
_atom_site_fract_z
_atom_site_occupancy
Li1 Li 0.0000 0.0000 0.0000 1
Mg1 Mg 0.3333 0.6667 0.2519 1
B1 B 0.0470 0.3039 0.2529 1
H1 H 0.0253 0.4533 0.2517 1
H2 H 0.0334 0.7894 0.8851 1
H3 H 0.0366 0.7939 0.6234 1
H4 H 0.1251 0.7740 0.2518 1
H5 H 0.2200 0.6867 0.9298 1
H6 H 0.2209 0.6881 0.5740 1
N1 N 0.3333 0.6667 0.5238 1
N2 N 0.3333 0.6667 0.9800 1
```



The following is a DFT calculation (meta-GGA SCAN) of a crystal of TlAs3O relaxed with PBEsol.

Output
Uncorrected formation energy   8.44 eV/f.u.
Density of states at the Fermi level   5.26 states/eV/f.u.

Structure (CIF):
```
data_TlAs3O
_space_group_name_H-M_alt 'P m -3 m'
_space_group_IT_number 221
_space_group_name_Hall '-P 4 2 3'
_cell_length_a 5.2555
_cell_length_b 5.2555
_cell_length_c 5.2555
_cell_angle_alpha 90.00
_cell_angle_beta 90.00
_cell_angle_gamma 90.00
loop_
_atom_site_label
_atom_site_type_symbol
_atom_site_fract_x
_atom_site_fract_y
_atom_site_fract_z
_atom_site_occupancy
Tl1 Tl 0.0000 0.0000 0.0000 1
As1 As 0.0000 0.0000 0.5000 1
O1 O 0.5000 0.5000 0.5000 1
```



The following is a DFT calculation (meta-GGA SCAN) of a crystal of CrSi2W relaxed with PBEsol.

Output
Uncorrected formation energy   -0.84 eV/f.u.
Density of states at the Fermi level   0.98 states/eV/f.u.

Structure (CIF):
```
data_CrSi2W
_space_group_name_H-M_alt 'P 4 m m'
_space_group_IT_number 99
_cell_length_a 3.0756
_cell_length_b 3.0756
_cell_length_c 5.3776
_cell_angle_alpha 90.00
_cell_angle_beta 90.00
_cell_angle_gamma 90.00
loop_
_space_group_symop_operation_xyz
'x,y,z'
'-y,x,z'
'-x,-y,z'
'y,-x,z'
'-x,y,z'
'y,x,z'
'x,-y,z'
'-y,-x,z'
loop_
_atom_site_label
_atom_site_type_symbol
_atom_site_fract_x
_atom_site_fract_y
_atom_site_fract_z
_atom_site_occupancy
Cr1 Cr 0.0000 0.0000 0.0000 1
Si1 Si 0.0000 0.0000 0.4655 1
Si2 Si 0.5000 0.5000 0.2094 1
W1 W 0.5000 0.5000 0.7105 1
```



The following is a DFT calculation (meta-GGA SCAN) of a crystal of SbS2I relaxed with PBEsol.

Output
Uncorrected formation energy   -0.08 eV/f.u.

Structure (CIF):
```
data_SbS2I
_space_group_name_H-M_alt 'R -3 m'
_space_group_IT_number 166
_space_group_name_Hall '-R 3 2"'
_cell_length_a 4.1018
_cell_length_b 4.1018
_cell_length_c 24.0811
_cell_angle_alpha 90.00
_cell_angle_beta 90.00
_cell_angle_gamma 120.00
loop_
_atom_site_label
_atom_site_type_symbol
_atom_site_fract_x
_atom_site_fract_y
_atom_site_fract_z
_atom_site_occupancy
Sb1 Sb 0.0000 0.0000 0.0000 1
S1 S 0.0000 0.0000 0.3923 1
I1 I 0.0000 0.0000 0.5000 1
```



The following is a DFT calculation (meta-GGA SCAN) of a crystal of Mg2SnPt2 relaxed with PBEsol.

Output
Formation energy   -0.474 eV/atom
Density of states at the Fermi level   1.79 states/eV/f.u.

Structure (CIF):
```
data_Mg2SnPt2
_space_group_name_H-M_alt 'I 4/m m m'
_space_group_IT_number 139
_space_group_name_Hall '-I 4 2'
_cell_length_a 3.9163
_cell_length_b 3.9163
_cell_length_c 12.3612
_cell_angle_alpha 90.00
_cell_angle_beta 90.00
_cell_angle_gamma 90.00
loop_
_atom_site_label
_atom_site_type_symbol
_atom_site_fract_x
_atom_site_fract_y
_atom_site_fract_z
_atom_site_occupancy
Mg1 Mg 0.0000 0.5000 0.2500 1
Sn1 Sn 0.0000 0.0000 0.0000 1
Pt1 Pt 0.0000 0.0000 0.3938 1
```



The following is a DFT calculation (meta-GGA SCAN) of a crystal of LaDyMg2 relaxed with PBEsol.

Output
Formation energy   -0.100 eV/atom
Density of states at the Fermi level   3.91 states/eV/f.u.

Structure (CIF):
```
data_LaDyMg2
_space_group_name_H-M_alt 'F m -3 m'
_space_group_IT_number 225
_space_group_name_Hall '-F 4 2 3'
_cell_length_a 7.6422
_cell_length_b 7.6422
_cell_length_c 7.6422
_cell_angle_alpha 90.00
_cell_angle_beta 90.00
_cell_angle_gamma 90.00
loop_
_atom_site_label
_atom_site_type_symbol
_atom_site_fract_x
_atom_site_fract_y
_atom_site_fract_z
_atom_site_occupancy
La1 La 0.0000 0.0000 0.0000 1
Dy1 Dy 0.0000 0.0000 0.5000 1
Mg1 Mg 0.2500 0.2500 0.2500 1
```



The following is a DFT calculation (meta-GGA SCAN) of a crystal of Zn2FeRh relaxed with PBEsol.

Output
Formation energy   -0.174 eV/atom
Density of states at the Fermi level   2.10 states/eV/f.u.

Structure (CIF):
```
data_Zn2FeRh
_space_group_name_H-M_alt 'I m m 2'
_space_group_IT_number 44
_cell_length_a 2.8779
_cell_length_b 4.2177
_cell_length_c 8.4144
_cell_angle_alpha 90.00
_cell_angle_beta 90.00
_cell_angle_gamma 90.00
loop_
_space_group_symop_operation_xyz
'x,y,z'
'-x,-y,z'
'-x,y,z'
'x,-y,z'
'x+1/2,y+1/2,z+1/2'
'-x+1/2,-y+1/2,z+1/2'
'-x+1/2,y+1/2,z+1/2'
'x+1/2,-y+1/2,z+1/2'
loop_
_atom_site_label
_atom_site_type_symbol
_atom_site_fract_x
_atom_site_fract_y
_atom_site_fract_z
_atom_site_occupancy
Zn1 Zn 0.0000 0.0000 0.0000 1
Zn2 Zn 0.0000 0.5000 0.2515 1
Fe1 Fe 0.0000 0.5000 0.7459 1
Rh1 Rh 0.0000 0.0000 0.4966 1
```



The following is a DFT calculation (meta-GGA SCAN) of a crystal of ZnPtPb2 relaxed with PBEsol.

Output
Formation energy   0.186 eV/atom
Density of states at the Fermi level   1.53 states/eV/f.u.

Structure (CIF):
```
data_ZnPtPb2
_space_group_name_H-M_alt 'C m m m'
_space_group_IT_number 65
_space_group_name_Hall '-C 2 2'
_cell_length_a 6.6253
_cell_length_b 6.8540
_cell_length_c 3.7339
_cell_angle_alpha 90.00
_cell_angle_beta 90.00
_cell_angle_gamma 90.00
loop_
_atom_site_label
_atom_site_type_symbol
_atom_site_fract_x
_atom_site_fract_y
_atom_site_fract_z
_atom_site_occupancy
Zn1 Zn 0.0000 0.0000 0.0000 1
Pt1 Pt 0.0000 0.5000 0.0000 1
Pb1 Pb 0.2500 0.2500 0.5000 1
```



| no. | VASP energy (eV/f.u.) | magnetic moment (μB per cell) |
| --- | --- | --- |
| 1 | -87.06 | 1.22 |
| 2 | -165.09 | 0.00 |
| 3 | -269.57 | 0.00 |
| 4 | -243.09 | 0.00 |
| 5 | -119.55 | 0.00 |
| 6 | -130.72 | 3.54 |
| 7 | -108.95 | 0.00 |
| 8 | -93.34 | 0.00 |
| 9 | -188.63 | 0.00 |
| 10 | -101.25 | 0.00 |
| 11 | -79.63 | 6.43 |
| 12 | -234.53 | 0.00 |